The following is a DFT calculation (GGA+U) of a geometry-optimized LaCrSeO2 structure.

Cell and atoms, written as extended XYZ:
```
5
Lattice="3.9655 0.0000 0.0000 0.0000 6.6273 0.0000 0.0000 0.0000 3.9655" Properties=species:S:1:pos:R:3 pbc="T T T"
Cr 0.0000 0.0000 0.0000
O 1.9828 0.0000 0.0000
O 0.0000 0.0000 1.9828
La 0.0000 3.3136 0.0000
Se 1.9828 3.3136 1.9828
```

Computed properties:
- Offset from the most stable computed form: 4.50 eV per formula unit